# AgAs

A geometry-optimized AgAs structure (PBE, Alexandria via LeMat-Bulk).

Output
- Offset from the most stable computed form: 2.703 kcal/mol of atoms
- Spin magnetization: 0.0 μB per cell

extended XYZ file:
```
4
Lattice="6.1534 0.0001 0.0023 3.7431 4.8840 -0.0023 -4.7154 -2.9139 2.6718" Properties=species:S:1:pos:R:3 pbc="T T T"
As 5.0445 0.0654 0.6697
As 0.1366 1.9049 2.0021
Ag 3.1404 2.1623 0.6674
Ag 2.0407 -0.1921 2.0044
```

# Ag2As

A geometry-optimized Ag2As structure (PBE, Alexandria via LeMat-Bulk).

Output
- Offset from the most stable computed form: 2.157 kcal/mol of atoms
- Spin magnetization: 0.0 μB per cell

extended XYZ file:
```
6
Lattice="-1.4527 1.4527 13.5881 1.4527 -1.4527 13.5881 1.4527 1.4527 -13.5881" Properties=species:S:1:pos:R:3 pbc="T T T"
Ag 0.0000 0.0000 11.4123
Ag 0.0000 0.0000 15.7638
Ag 1.4527 0.0000 4.6183
Ag 1.4527 0.0000 8.9698
As 0.0000 1.4527 6.7940
As 0.0000 0.0000 0.0000
```

# Ag2As

A geometry-optimized Ag2As structure (PBE, Alexandria via LeMat-Bulk).

Output
- Offset from the most stable computed form: 1.200 kcal/mol of atoms
- Spin magnetization: 0.0 μB per cell

extended XYZ file:
```
3
Lattice="-1.7196 0.5058 -4.1223 3.4750 -2.2682 -1.7279 -1.6175 -2.7363 0.3390" Properties=species:S:1:pos:R:3 pbc="T T T"
Ag -0.8598 0.2529 -2.0611
Ag 1.7375 -1.1341 -0.8640
As -0.8087 -1.3681 0.1695
```

# Ag13As2

A geometry-optimized Ag13As2 structure (PBE, Alexandria via LeMat-Bulk).

Output
- Spin magnetization: 0.0 μB per cell

extended XYZ file:
```
15
Lattice="-4.7120 4.2866 1.5101 -2.8379 -6.0458 -2.7497 0.7763 -0.4530 6.5413" Properties=species:S:1:pos:R:3 pbc="T T T"
Ag -5.7305 -3.2952 0.4602
Ag -5.3232 1.4660 2.0469
Ag -5.0869 -0.4726 -0.1127
Ag -1.6868 -1.7396 5.4145
Ag -2.6610 0.7574 1.0084
Ag -3.0572 -4.0885 -0.5799
Ag -1.4504 -3.6781 3.2549
Ag -3.3029 -2.1046 1.5687
Ag -1.0432 1.0831 4.8416
Ag -4.1127 -2.9695 4.2934
Ag -3.7165 1.8764 5.8817
Ag 0.0000 0.0000 0.0000
Ag -3.4708 -0.1075 3.7331
As -5.8435 -1.3281 2.6847
As -0.9301 -0.8840 2.6172
```

# AgAs

A geometry-optimized AgAs structure (PBE, Alexandria via LeMat-Bulk).

Output
- Offset from the most stable computed form: 8.996 kcal/mol of atoms
- Spin magnetization: 0.0 μB per cell

extended XYZ file:
```
8
Lattice="-4.8047 4.1153 2.6038 -3.1044 -5.4065 2.8165 2.4253 0.5148 3.6616" Properties=species:S:1:pos:R:3 pbc="T T T"
As -4.4390 -0.6652 5.7039
As -4.4399 2.0722 2.6494
As -1.0449 -0.1111 3.3779
As -3.4693 -3.3634 2.7708
Ag -2.4761 -1.8770 4.5742
Ag -6.6725 -1.0893 4.5728
Ag -3.0078 1.1006 4.5077
Ag -1.2367 -0.2019 0.8475
```

# AgAs

A geometry-optimized AgAs structure (PBE, Alexandria via LeMat-Bulk).

Output
- Offset from the most stable computed form: 4.300 kcal/mol of atoms
- Spin magnetization: 0.0 μB per cell

extended XYZ file:
```
2
Lattice="-2.0063 2.6956 -0.1651 -2.1950 -1.7474 -1.8568 -1.5735 -0.9995 2.8007" Properties=species:S:1:pos:R:3 pbc="T T T"
Ag 0.0000 0.0000 0.0000
As -2.8874 -0.0256 0.3894
```

# AgAs3

A geometry-optimized AgAs3 structure (PBE, Alexandria via LeMat-Bulk).

Output
- Offset from the most stable computed form: 0.000 kcal/mol of atoms
- Spin magnetization: 0.0 μB per cell

extended XYZ file:
```
8
Lattice="-2.3822 -4.1606 2.7616 1.6546 -3.2340 -4.1732 4.7732 -0.9752 2.6483" Properties=species:S:1:pos:R:3 pbc="T T T"
As 2.0808 -6.5574 2.5428
As 5.1152 -3.9928 -1.9820
As 1.9648 -1.8123 -1.3061
As 2.4569 -2.7348 3.2725
As 1.5887 -5.6350 -2.0358
As -1.0696 -4.3770 3.2187
Ag 3.2341 -4.4246 1.2496
Ag 0.8115 -3.9452 -0.0128
```

# Ag2As

A geometry-optimized Ag2As structure (PBE, Alexandria via LeMat-Bulk).

Output
- Offset from the most stable computed form: 0.485 kcal/mol of atoms
- Spin magnetization: 0.0 μB per cell

extended XYZ file:
```
3
Lattice="6.8253 0.0182 0.0000 5.5633 3.9541 0.0000 -6.1943 -1.9861 2.0666" Properties=species:S:1:pos:R:3 pbc="T T T"
As 0.0000 0.0000 0.0000
Ag 4.1113 1.3183 0.0000
Ag 8.2773 2.6540 0.0000
```

DOS(E_F), record by record: 0.380, 0.422, 0.405, 0.294, 0.877, 0.669, 0.313, 0.352 states/eV per atom
Energy, record by record: -0.25906, -0.23813, -0.24118, -0.22252, -0.23901, -0.25397, -0.29915, -0.24346 Ry per atom